Record 1
Material: TcHg2Cl
Method: DFT, PBE
State: optimized geometry

As for the size of the total moment: 0.12 μB per formula unit. The raw formation energy is 209 meV per atom. Its crystal system is monoclinic.

It has space group Cm (No. 8), with a = 14.065 Å, b = 2.978 Å, c = 4.882 Å, α = 90.00°, β = 110.25° and γ = 90.00°. Symmetry generates all atoms from Tc at (0.000, 0.000, 0.000), Hg at (0.315, 0.000, 0.816), Hg at (0.474, 0.000, 0.474) and Cl at (0.140, 0.500, 0.140).

***

Record 2
Material: KTa2MnRh
Method: DFT, PBE
State: optimized geometry

As for the size of the total moment: 0.00 μB per formula unit. Its crystal system is tetragonal.

It has space group P4/mmm (No. 123), with a = 4.636 Å, b = 4.636 Å, c = 4.839 Å, α = 90.00°, β = 90.00° and γ = 90.00°. Symmetry generates all atoms from K at (0.000, 0.000, 0.000), Ta at (0.000, 0.500, 0.500), Mn at (0.500, 0.500, 0.500) and Rh at (0.500, 0.500, 0.000).

***

no.,VASP energy (eV/atom),calculated volume (Å³ per atom)
1,-2.99,23.98
2,-7.18,20.80